! TiZn2Pd3 | Alexandria via LeMat-Bulk | PBE-GGA | relaxed; values from VASP
&SYSTEM
  ibrav = 0, nat = 6, ntyp = 3
/
ATOMIC_SPECIES
Ti 47.87 Ti.upf
Zn 65.41 Zn.upf
Pd 106.42 Pd.upf
CELL_PARAMETERS angstrom
-0.057 -1.160 -2.642
0.207 -2.637 1.153
-10.664 -0.619 0.500
ATOMIC_POSITIONS angstrom
Ti -5.257 -2.208 -0.494
Zn -8.874 -2.418 -0.324
Zn -1.639 -1.998 -0.664
Pd 0.000 0.000 0.000
Pd -7.200 -0.418 0.338
Pd -3.464 -0.201 0.163
! E, eV per formula unit: -29.435
! ΔE_f, eV per atom: -0.569
! Space-group type: P4/mmm
! Density of states at the Fermi level, states/eV/atom: 0.377

! Ti2Zn2Pd7 | Alexandria via LeMat-Bulk | PBE-GGA | relaxed; values from VASP
&SYSTEM
  ibrav = 0, nat = 11, ntyp = 3
/
ATOMIC_SPECIES
Ti 47.87 Ti.upf
Zn 65.41 Zn.upf
Pd 106.42 Pd.upf
CELL_PARAMETERS angstrom
6.020 -0.071 -0.299
-0.260 4.998 0.249
-0.674 0.066 5.990
ATOMIC_POSITIONS angstrom
Ti 4.138 2.495 4.667
Ti 0.948 2.498 1.272
Zn 4.357 1.206 1.264
Zn 0.729 3.787 4.675
Pd -0.174 1.260 3.585
Pd 3.328 3.735 0.297
Pd 5.260 3.733 2.354
Pd 1.758 1.258 5.642
Pd 0.000 0.000 0.000
Pd 2.611 3.780 2.907
Pd 2.476 1.213 3.032
! E, eV per formula unit: -57.670
! ΔE_f, eV per atom: -0.271
! Space-group type: C2/m
! Density of states at the Fermi level, states/eV/atom: 0.745

! TiZn2Pd | Alexandria via LeMat-Bulk | PBE-GGA | relaxed; values from VASP
&SYSTEM
  ibrav = 0, nat = 4, ntyp = 3
/
ATOMIC_SPECIES
Zn 65.41 Zn.upf
Pd 106.42 Pd.upf
Ti 47.87 Ti.upf
CELL_PARAMETERS angstrom
-2.125 1.596 -1.508
1.060 -1.093 -2.649
-4.065 -5.001 0.437
ATOMIC_POSITIONS angstrom
Zn -3.117 -3.834 0.335
Zn -0.948 -1.167 0.102
Pd -0.532 0.251 -2.079
Ti -2.565 -2.249 -1.860
! E, eV per formula unit: -16.969
! ΔE_f, eV per atom: -0.333
! Space-group type: P4/mmm
! Density of states at the Fermi level, states/eV/atom: 0.836

! Ti2ZnPd | Alexandria via LeMat-Bulk | PBE-GGA | relaxed; values from VASP
&SYSTEM
  ibrav = 0, nat = 4, ntyp = 3
/
ATOMIC_SPECIES
Ti 47.87 Ti.upf
Zn 65.41 Zn.upf
Pd 106.42 Pd.upf
CELL_PARAMETERS angstrom
-0.474 -2.732 0.517
1.425 -1.973 -1.424
6.899 -1.488 6.169
ATOMIC_POSITIONS angstrom
Ti 5.290 -1.508 4.587
Ti 1.926 -1.549 1.280
Zn 3.927 -3.097 2.633
Pd 7.531 -4.625 5.562
! E, eV per formula unit: -23.009
! ΔE_f, eV per atom: -0.188
! Space-group type: R3m
! Density of states at the Fermi level, states/eV/atom: 1.097

! TiZn4Pd7 | Alexandria via LeMat-Bulk | PBE-GGA | relaxed; values from VASP
&SYSTEM
  ibrav = 0, nat = 12, ntyp = 3
/
ATOMIC_SPECIES
Ti 47.87 Ti.upf
Zn 65.41 Zn.upf
Pd 106.42 Pd.upf
CELL_PARAMETERS angstrom
-2.868 -2.640 -2.437
-5.104 -2.936 4.851
-5.169 3.189 -1.707
ATOMIC_POSITIONS angstrom
Ti 0.000 0.000 0.000
Zn -6.040 -0.142 -1.410
Zn -7.101 -2.246 2.117
Zn -10.152 -0.886 -0.100
Zn -2.989 -1.501 0.807
Pd -9.608 -2.860 1.397
Pd -3.533 0.472 -0.690
Pd -4.616 -1.560 2.786
Pd -8.525 -0.827 -2.079
Pd -7.703 -0.298 0.716
Pd -1.434 -1.320 -1.219
Pd -5.438 -2.090 -0.009
! E, eV per formula unit: -52.368
! ΔE_f, eV per atom: -0.252
! Space-group type: C2/m
! Density of states at the Fermi level, states/eV/atom: 0.444

! Ti3ZnPd3 | Alexandria via LeMat-Bulk | PBE-GGA | relaxed; values from VASP
&SYSTEM
  ibrav = 0, nat = 28, ntyp = 3
/
ATOMIC_SPECIES
Ti 47.87 Ti.upf
Zn 65.41 Zn.upf
Pd 106.42 Pd.upf
CELL_PARAMETERS angstrom
-3.948 -0.058 -6.615
6.069 -3.097 -3.595
-2.632 -7.053 1.633
ATOMIC_POSITIONS angstrom
Ti -1.541 -2.121 -6.849
Ti -0.489 -9.767 -8.207
Ti 0.305 -4.329 -7.318
Ti 3.778 -5.292 -3.392
Ti -0.102 -2.045 -1.718
Ti 1.827 -7.433 -3.714
Ti 1.173 -5.248 -1.041
Ti -2.937 -6.553 -1.492
Ti -3.051 -6.609 -4.404
Ti -0.323 -6.451 -5.420
Ti -3.085 -3.387 -3.002
Ti 1.379 -2.013 -4.904
Zn 0.858 -8.228 -1.301
Zn -4.555 -4.553 -5.352
Zn -0.206 -4.125 -3.466
Zn 2.881 -3.511 -7.035
Pd -1.632 -8.733 -5.843
Pd -3.784 -2.099 -5.413
Pd -0.777 -6.968 -7.994
Pd 2.167 -3.346 -2.545
Pd -1.496 -4.338 -1.147
Pd 4.010 -3.026 -4.775
Pd -0.826 -6.880 0.101
Pd -0.607 -6.573 -2.785
Pd -1.143 -1.756 -4.240
Pd 1.203 -8.398 -6.411
Pd -1.904 -4.319 -5.389
Pd 1.725 -4.811 -5.021
! E, eV per formula unit: -43.081
! ΔE_f, eV per atom: -0.363
! Space-group type: P2_13
! Distance to the lowest polymorph of the same formula, meV/atom: 0
! Density of states at the Fermi level, states/eV/atom: 1.048

! Ti3ZnPd4 | Alexandria via LeMat-Bulk | PBE-GGA | relaxed; values from VASP
&SYSTEM
  ibrav = 0, nat = 16, ntyp = 3
/
ATOMIC_SPECIES
Zn 65.41 Zn.upf
Pd 106.42 Pd.upf
Ti 47.87 Ti.upf
CELL_PARAMETERS angstrom
4.757 0.000 0.000
0.000 5.650 0.000
0.000 0.000 9.162
ATOMIC_POSITIONS angstrom
Zn 0.000 2.825 0.000
Zn 0.000 2.825 4.581
Pd 2.378 4.233 0.000
Pd 2.378 4.233 4.581
Pd 2.378 1.417 0.000
Pd 2.378 1.417 4.581
Pd 0.581 4.234 6.871
Pd 4.175 4.234 2.290
Pd 4.175 1.416 2.290
Pd 0.581 1.416 6.871
Ti 0.000 0.000 0.000
Ti 0.000 0.000 4.581
Ti 2.900 0.000 6.871
Ti 1.857 0.000 2.290
Ti 2.978 2.825 6.871
Ti 1.778 2.825 2.290
! E, eV per formula unit: -49.997
! ΔE_f, eV per atom: -0.533
! Space-group type: Pmma
! Distance to the lowest polymorph of the same formula, meV/atom: 0
! Density of states at the Fermi level, states/eV/atom: 0.890

! Ti3ZnPd12 | Alexandria via LeMat-Bulk | PBE-GGA | relaxed; values from VASP
&SYSTEM
  ibrav = 0, nat = 16, ntyp = 3
/
ATOMIC_SPECIES
Ti 47.87 Ti.upf
Zn 65.41 Zn.upf
Pd 106.42 Pd.upf
CELL_PARAMETERS angstrom
3.928 0.000 0.000
0.000 3.928 0.000
0.000 0.000 15.655
ATOMIC_POSITIONS angstrom
Ti 0.000 0.000 3.823
Ti 0.000 0.000 7.827
Ti 0.000 0.000 11.832
Zn 0.000 0.000 0.000
Pd 1.964 1.964 0.000
Pd 1.964 1.964 3.939
Pd 1.964 1.964 7.827
Pd 1.964 1.964 11.716
Pd 1.964 0.000 1.993
Pd 1.964 0.000 5.887
Pd 1.964 0.000 9.768
Pd 1.964 0.000 13.662
Pd 0.000 1.964 1.993
Pd 0.000 1.964 5.887
Pd 0.000 1.964 9.768
Pd 0.000 1.964 13.662
! E, eV per formula unit: -96.583
! ΔE_f, eV per atom: -0.582
! Space-group type: P4/mmm
! Density of states at the Fermi level, states/eV/atom: 0.652

! TiZn2Pd | Alexandria via LeMat-Bulk | PBE-GGA | relaxed; values from VASP
&SYSTEM
  ibrav = 0, nat = 4, ntyp = 3
/
ATOMIC_SPECIES
Ti 47.87 Ti.upf
Zn 65.41 Zn.upf
Pd 106.42 Pd.upf
CELL_PARAMETERS angstrom
-2.288 1.703 -0.096
-1.822 -0.180 -2.189
-6.032 -5.508 3.613
ATOMIC_POSITIONS angstrom
Ti -5.074 -1.996 0.666
Zn -4.925 -4.080 2.575
Zn -2.477 -0.920 0.277
Pd -8.770 -4.489 2.087
! E, eV per formula unit: -16.494
! ΔE_f, eV per atom: -0.215
! Space-group type: R3m
! Density of states at the Fermi level, states/eV/atom: 0.555

! Ti4Zn2Pd5 | Alexandria via LeMat-Bulk | PBE-GGA | relaxed; values from VASP
&SYSTEM
  ibrav = 0, nat = 11, ntyp = 3
/
ATOMIC_SPECIES
Ti 47.87 Ti.upf
Zn 65.41 Zn.upf
Pd 106.42 Pd.upf
CELL_PARAMETERS angstrom
2.775 0.000 0.000
0.000 6.688 0.381
-1.387 -1.448 9.424
ATOMIC_POSITIONS angstrom
Ti 1.387 2.694 3.493
Ti 1.387 3.011 8.734
Ti 0.000 2.546 6.312
Ti 0.000 2.229 1.070
Zn 0.000 4.776 2.011
Zn 1.387 0.464 7.794
Pd 0.000 4.720 4.662
Pd 1.387 0.520 5.143
Pd 0.000 0.402 2.705
Pd 1.387 0.000 0.000
Pd 1.387 4.838 7.100
! E, eV per formula unit: -62.880
! ΔE_f, eV per atom: -0.254
! Space-group type: C2/m
! Density of states at the Fermi level, states/eV/atom: 0.943

! Ti3ZnPd2 | Alexandria via LeMat-Bulk | PBE-GGA | relaxed; values from VASP
&SYSTEM
  ibrav = 0, nat = 6, ntyp = 3
/
ATOMIC_SPECIES
Ti 47.87 Ti.upf
Zn 65.41 Zn.upf
Pd 106.42 Pd.upf
CELL_PARAMETERS angstrom
2.748 0.000 0.000
0.000 4.933 0.000
-1.374 -2.466 7.474
ATOMIC_POSITIONS angstrom
Ti 0.000 2.466 0.000
Ti 1.374 2.466 4.771
Ti 0.000 0.000 2.703
Zn 0.000 0.000 0.000
Pd 1.374 2.466 2.251
Pd 0.000 0.000 5.223
! E, eV per formula unit: -35.765
! ΔE_f, eV per atom: -0.070
! Space-group type: Immm
! Density of states at the Fermi level, states/eV/atom: 0.994

! Ti11Zn9Pd4 | Alexandria via LeMat-Bulk | PBE-GGA | relaxed; values from VASP
&SYSTEM
  ibrav = 0, nat = 24, ntyp = 3
/
ATOMIC_SPECIES
Ti 47.87 Ti.upf
Zn 65.41 Zn.upf
Pd 106.42 Pd.upf
CELL_PARAMETERS angstrom
2.964 0.000 0.000
0.000 10.844 -4.923
0.000 -0.266 11.906
ATOMIC_POSITIONS angstrom
Ti 0.000 6.191 8.399
Ti 0.000 4.387 -1.416
Ti 0.000 10.156 2.392
Ti 0.000 0.422 4.590
Ti 0.000 6.804 1.197
Ti 0.000 3.774 5.786
Ti 0.000 8.896 -1.973
Ti 0.000 1.682 8.955
Ti 0.000 0.000 0.000
Ti 0.000 7.986 5.272
Ti 0.000 2.592 1.711
Zn 1.482 6.720 -1.143
Zn 1.482 3.858 8.125
Zn 1.482 1.590 6.628
Zn 1.482 8.988 0.354
Zn 1.482 8.374 7.599
Zn 1.482 2.204 -0.616
Zn 1.482 10.278 4.714
Zn 1.482 0.299 2.269
Zn 1.482 5.289 3.491
Pd 1.482 5.951 6.195
Pd 1.482 4.627 0.787
Pd 1.482 8.035 3.037
Pd 1.482 2.542 3.945
! E, eV per formula unit: -126.144
! ΔE_f, eV per atom: -0.294
! Space-group type: Cmmm
! Density of states at the Fermi level, states/eV/atom: 0.865

! Ti2Zn3Pd3 | Alexandria via LeMat-Bulk | PBE-GGA | relaxed; values from VASP
&SYSTEM
  ibrav = 0, nat = 8, ntyp = 3
/
ATOMIC_SPECIES
Ti 47.87 Ti.upf
Zn 65.41 Zn.upf
Pd 106.42 Pd.upf
CELL_PARAMETERS angstrom
-1.697 -0.609 -2.064
4.782 -4.987 -2.460
-5.170 -1.945 4.824
ATOMIC_POSITIONS angstrom
Ti -1.853 -2.959 2.396
Ti 1.465 -3.973 -0.032
Zn -0.294 -5.245 1.789
Zn 1.164 -1.214 -0.599
Zn -1.258 -0.473 1.174
Pd -0.986 -2.755 -0.196
Pd 2.243 -3.528 -2.622
Pd -4.191 -1.562 2.086
! E, eV per formula unit: -37.897
! ΔE_f, eV per atom: -0.338
! Space-group type: P-62m
! Density of states at the Fermi level, states/eV/atom: 0.778

! TiZn2Pd8 | Alexandria via LeMat-Bulk | PBE-GGA | relaxed; values from VASP
&SYSTEM
  ibrav = 0, nat = 11, ntyp = 3
/
ATOMIC_SPECIES
Ti 47.87 Ti.upf
Zn 65.41 Zn.upf
Pd 106.42 Pd.upf
CELL_PARAMETERS angstrom
3.909 0.000 -1.190
-1.026 5.937 -3.372
0.066 0.105 7.234
ATOMIC_POSITIONS angstrom
Ti 1.955 0.000 -0.595
Zn 0.057 4.131 0.187
Zn 2.892 1.911 2.485
Pd 1.693 5.286 -1.454
Pd 0.795 3.424 2.611
Pd 0.441 0.900 1.451
Pd -0.307 1.777 -1.009
Pd 2.507 5.142 1.222
Pd 2.154 2.618 0.061
Pd 1.256 0.756 4.126
Pd 3.256 4.266 3.681
! E, eV per formula unit: -56.611
! ΔE_f, eV per atom: -0.420
! Space-group type: Immm
! Distance to the lowest polymorph of the same formula, meV/atom: 22
! Density of states at the Fermi level, states/eV/atom: 0.624

! Ti3Zn2Pd2 | Alexandria via LeMat-Bulk | PBE-GGA | relaxed; values from VASP
&SYSTEM
  ibrav = 0, nat = 7, ntyp = 3
/
ATOMIC_SPECIES
Ti 47.87 Ti.upf
Zn 65.41 Zn.upf
Pd 106.42 Pd.upf
CELL_PARAMETERS angstrom
-1.628 -3.650 -1.891
4.288 0.987 -0.428
0.936 -1.187 6.654
ATOMIC_POSITIONS angstrom
Ti 0.000 0.000 0.000
Ti 3.090 -2.547 2.257
Ti 0.507 -1.303 2.079
Zn 2.523 -1.091 -0.067
Zn 1.074 -2.760 4.403
Pd 2.901 -0.843 4.297
Pd 0.696 -3.008 0.038
! E, eV per formula unit: -39.234
! ΔE_f, eV per atom: -0.374
! Space-group type: R-3m
! Distance to the lowest polymorph of the same formula, meV/atom: 0
! Density of states at the Fermi level, states/eV/atom: 0.550

! TiZnPd3 | Alexandria via LeMat-Bulk | PBE-GGA | relaxed; values from VASP
&SYSTEM
  ibrav = 0, nat = 5, ntyp = 3
/
ATOMIC_SPECIES
Zn 65.41 Zn.upf
Pd 106.42 Pd.upf
Ti 47.87 Ti.upf
CELL_PARAMETERS angstrom
4.650 0.000 0.000
0.000 4.650 0.000
0.000 0.000 4.650
ATOMIC_POSITIONS angstrom
Zn 2.325 2.325 2.325
Pd 0.000 2.325 0.000
Pd 0.000 0.000 2.325
Pd 2.325 0.000 0.000
Ti 0.000 0.000 0.000
! E, eV per formula unit: -22.264
! ΔE_f, eV per atom: 0.497
! Space-group type: Pm-3m
! Distance to the lowest polymorph of the same formula, meV/atom: 1059
! Density of states at the Fermi level, states/eV/atom: 0.767

! TiZn5Pd4 | Alexandria via LeMat-Bulk | PBE-GGA | relaxed; values from VASP
&SYSTEM
  ibrav = 0, nat = 10, ntyp = 3
/
ATOMIC_SPECIES
Ti 47.87 Ti.upf
Zn 65.41 Zn.upf
Pd 106.42 Pd.upf
CELL_PARAMETERS angstrom
-1.939 2.165 1.134
-2.414 -1.924 -0.454
1.859 -5.604 13.876
ATOMIC_POSITIONS angstrom
Ti 0.000 0.000 0.000
Zn -1.976 -0.485 1.839
Zn -1.615 -1.572 4.531
Zn -1.247 -2.681 7.278
Zn -0.879 -3.791 10.026
Zn -0.519 -4.878 12.717
Pd 0.378 -1.141 2.824
Pd 0.746 -2.249 5.570
Pd 1.113 -3.354 8.306
Pd 1.480 -4.463 11.051
! E, eV per formula unit: -39.718
! ΔE_f, eV per atom: -0.468
! Space-group type: P4/mmm
! Density of states at the Fermi level, states/eV/atom: 0.522

! TiZn2Pd | Alexandria via LeMat-Bulk | PBE-GGA | relaxed; values from VASP
&SYSTEM
  ibrav = 0, nat = 4, ntyp = 3
/
ATOMIC_SPECIES
Zn 65.41 Zn.upf
Pd 106.42 Pd.upf
Ti 47.87 Ti.upf
CELL_PARAMETERS angstrom
-2.001 -2.579 -2.599
3.350 -1.430 -1.160
-0.173 -2.643 2.756
ATOMIC_POSITIONS angstrom
Zn -0.087 -1.322 1.378
Zn 1.675 -0.715 -0.580
Pd -1.000 -1.289 -1.300
Ti 0.588 -3.326 -0.502
! E, eV per formula unit: -16.796
! ΔE_f, eV per atom: -0.290
! Space-group type: P4/mmm
! Density of states at the Fermi level, states/eV/atom: 1.173

! TiZnPd2 | Alexandria via LeMat-Bulk | PBE-GGA | relaxed; values from VASP
&SYSTEM
  ibrav = 0, nat = 4, ntyp = 3
/
ATOMIC_SPECIES
Ti 47.87 Ti.upf
Zn 65.41 Zn.upf
Pd 106.42 Pd.upf
CELL_PARAMETERS angstrom
-0.555 -0.648 2.797
0.321 -2.735 0.983
7.924 0.489 3.264
ATOMIC_POSITIONS angstrom
Ti -0.155 -2.257 2.522
Zn 3.844 -1.443 3.516
Pd 5.916 0.092 2.751
Pd 1.930 -0.734 1.776
! E, eV per formula unit: -21.195
! ΔE_f, eV per atom: -0.410
! Space-group type: Cm
! Density of states at the Fermi level, states/eV/atom: 0.832

! Ti6Zn3Pd | Alexandria via LeMat-Bulk | PBE-GGA | relaxed; values from VASP
&SYSTEM
  ibrav = 0, nat = 20, ntyp = 3
/
ATOMIC_SPECIES
Ti 47.87 Ti.upf
Zn 65.41 Zn.upf
Pd 106.42 Pd.upf
CELL_PARAMETERS angstrom
4.727 0.000 -0.094
0.000 8.360 0.000
-0.089 0.000 8.629
ATOMIC_POSITIONS angstrom
Ti 2.578 1.527 8.193
Ti 2.620 1.534 4.701
Ti 2.978 2.930 2.118
Ti 1.660 5.430 6.417
Ti 2.018 6.826 3.834
Ti 2.060 6.833 0.341
Ti 0.259 2.653 3.926
Ti 0.301 2.646 0.433
Ti 0.570 1.250 6.479
Ti 4.068 7.109 2.056
Ti 4.336 5.713 8.101
Ti 4.379 5.707 4.609
Zn 3.058 7.718 6.408
Zn 2.364 4.180 -0.047
Zn 1.580 0.642 2.127
Zn 0.739 4.822 2.141
Zn -0.045 0.000 4.314
Zn 3.898 3.538 6.394
Pd 2.319 4.180 4.267
Pd 0.000 0.000 0.000
! E, eV per formula unit: -56.033
! ΔE_f, eV per atom: 0.035
! Space-group type: P2_1/c
! Density of states at the Fermi level, states/eV/atom: 1.271

! Ti3Zn6Pd | Alexandria via LeMat-Bulk | PBE-GGA | relaxed; values from VASP
&SYSTEM
  ibrav = 0, nat = 20, ntyp = 3
/
ATOMIC_SPECIES
Ti 47.87 Ti.upf
Zn 65.41 Zn.upf
Pd 106.42 Pd.upf
CELL_PARAMETERS angstrom
4.401 0.000 0.000
0.000 7.055 -2.894
0.000 -0.464 10.009
ATOMIC_POSITIONS angstrom
Ti 1.100 3.692 2.021
Ti 3.300 2.899 5.094
Ti 1.100 2.144 6.692
Ti 3.300 4.447 0.424
Ti 1.100 4.909 7.516
Ti 3.300 1.682 -0.400
Zn 1.100 3.261 -0.673
Zn 3.300 3.330 7.788
Zn 1.100 1.012 1.218
Zn 3.300 5.579 5.898
Zn 1.100 4.454 4.786
Zn 3.300 2.137 2.330
Zn 1.100 1.631 3.967
Zn 3.300 4.960 3.149
Zn 1.100 6.038 0.258
Zn 3.300 0.553 6.858
Zn 1.100 -0.008 8.454
Zn 3.300 6.599 -1.338
Pd 1.100 6.403 2.876
Pd 3.300 0.188 4.240
! E, eV per formula unit: -38.601
! ΔE_f, eV per atom: -0.208
! Space-group type: P2_1/m
! Distance to the lowest polymorph of the same formula, meV/atom: 0
! Density of states at the Fermi level, states/eV/atom: 0.634